Entry 1:
First-principles (PBE-GGA) data for an optimized crystal structure of NdY2Mg3Ir2Pd, as listed in OQMD.

abc: 4.045 7.424 7.424
angles: 120.21 90.00 90.00
Element x y z (fractional)
Ir1 0.500 0.670 0.331
Ir2 0.500 0.331 0.670
Mg1 0.500 0.997 0.248
Mg2 0.500 0.754 0.754
Mg3 0.500 0.248 0.997
Nd1 0.000 0.418 0.418
Pd1 0.000 0.996 0.996
Y1 0.000 0.000 0.585
Y2 0.000 0.585 0.000

Computed properties:
**SG**: No. 38
**Total energy**: -5.6939 eV per atom
**Magnetic moment**: 0.00 μB per cell

---

Entry 2:
First-principles (PBE-GGA) data for an optimized crystal structure of PrNd2Mg3Ir3, as listed in OQMD.

abc: 4.155 7.429 7.429
angles: 120.01 90.00 90.00
Element x y z (fractional)
Ir1 0.500 0.668 0.333
Ir2 0.500 0.333 0.668
Ir3 0.000 0.999 0.999
Mg1 0.500 0.999 0.241
Mg2 0.500 0.760 0.760
Mg3 0.500 0.241 0.999
Nd1 0.000 0.589 0.000
Nd2 0.000 0.000 0.589
Pr1 0.000 0.412 0.412

Computed properties:
**SG**: No. 38
**Total energy**: -5.6490 eV per atom
**Magnetic moment**: 0.01 μB per cell

---

Entry 3:
First-principles (PBE-GGA) data for an optimized crystal structure of PrNd2Mg3Ir2Pt, as listed in OQMD.

abc: 4.123 7.502 7.502
angles: 120.02 90.00 90.00
Element x y z (fractional)
Ir1 0.500 0.668 0.333
Ir2 0.500 0.333 0.668
Mg1 0.500 0.999 0.243
Mg2 0.500 0.757 0.757
Mg3 0.500 0.243 0.999
Nd1 0.000 0.585 0.000
Nd2 0.000 0.000 0.585
Pr1 0.000 0.415 0.415
Pt1 0.000 0.999 0.999

Computed properties:
**SG**: No. 38
**Total energy**: -5.4508 eV per atom
**Magnetic moment**: 0.01 μB per cell

---

Entry 4:
First-principles (PBE-GGA) data for an optimized crystal structure of Nd3Mg3Ir2Pt, as listed in OQMD.

abc: 7.473 7.473 4.125
angles: 90.00 90.00 120.00
Element x y z (fractional)
Ir1 0.667 0.333 0.500
Ir2 0.333 0.667 0.500
Mg1 0.756 0.000 0.500
Mg2 0.244 0.244 0.500
Mg3 0.000 0.756 0.500
Nd1 0.415 0.000 0.000
Nd2 0.000 0.415 0.000
Nd3 0.585 0.585 0.000
Pt1 0.000 0.000 0.000

Computed properties:
**SG**: No. 189
**Total energy**: -5.4556 eV per atom
**Magnetic moment**: 0.01 μB per cell

---

Volume / A^3/atom: 21.41, 22.06, 22.32, 22.17